1.
# Li2PmMoF8 | Alexandria | GGA+U | optimized geometry
# **E_tot**: -68.48 eV for the cell shown
# **Fermi-level density of states**: 0.000 states/eV/atom
data_Li2PmMoF8
_chemical_formula_sum 'Li2 Pm1 Mo1 F8'
_cell_length_a 4.096
_cell_length_b 5.137
_cell_length_c 7.425
_cell_angle_alpha 95.86
_cell_angle_beta 90.47
_cell_angle_gamma 94.89
_space_group_name_H-M_alt 'P -1'
_space_group_IT_number 2
loop_
_space_group_symop_operation_xyz
'x,y,z'
'-x,-y,-z'
loop_
_atom_site_label
_atom_site_type_symbol
_atom_site_fract_x
_atom_site_fract_y
_atom_site_fract_z
_atom_site_occupancy
Li1 Li 0.038 0.461 0.297 1
Pm1 Pm 0.500 0.000 0.000 1
Mo1 Mo 0.500 0.000 0.500 1
F1 F 0.064 0.249 0.050 1
F2 F 0.131 0.262 0.513 1
F3 F 0.363 0.761 0.251 1
F4 F 0.384 0.762 0.713 1

=====

2.
# RbLiMoF6 | Alexandria | GGA+U | optimized geometry
# **E_tot**: -90.88 eV for the cell shown
# **Fermi-level density of states**: 0.757 states/eV/atom
data_RbLiMoF6
_chemical_formula_sum 'Rb2 Li2 Mo2 F12'
_cell_length_a 5.4809
_cell_length_b 5.4809
_cell_length_c 12.1663
_cell_angle_alpha 90.00
_cell_angle_beta 90.00
_cell_angle_gamma 120.00
_space_group_name_H-M_alt 'P -3 1 c'
_space_group_IT_number 163
_space_group_name_Hall '-P 3 2c'
loop_
_atom_site_label
_atom_site_type_symbol
_atom_site_fract_x
_atom_site_fract_y
_atom_site_fract_z
_atom_site_occupancy
Rb1 Rb 0.0000 0.0000 0.0000 1
Li1 Li 0.3333 0.6667 0.2500 1
Mo1 Mo 0.3333 0.6667 0.7500 1
F1 F 0.0114 0.3823 0.6586 1

=====

3.
# Rb2Li3MoF12 | Alexandria | GGA+U | optimized geometry
# **E_tot**: -239.03 eV for the cell shown
# **Fermi-level density of states**: 0.590 states/eV/atom
data_Rb2Li3MoF12
_chemical_formula_sum 'Rb6 Li9 Mo3 F36'
_cell_length_a 7.1096
_cell_length_b 7.1096
_cell_length_c 19.9403
_cell_angle_alpha 90.00
_cell_angle_beta 90.00
_cell_angle_gamma 120.00
_space_group_name_H-M_alt 'R -3 m'
_space_group_IT_number 166
_space_group_name_Hall '-R 3 2"'
loop_
_atom_site_label
_atom_site_type_symbol
_atom_site_fract_x
_atom_site_fract_y
_atom_site_fract_z
_atom_site_occupancy
Rb1 Rb 0.0000 0.0000 0.0943 1
Li1 Li 0.0000 0.5000 0.0000 1
Mo1 Mo 0.0000 0.0000 0.5000 1
F1 F 0.0701 0.5351 0.3545 1
F2 F 0.0712 0.5356 0.1145 1

=====

4.
# LiSb2MoF | Alexandria | GGA+U | optimized geometry
# **E_tot**: -17.55 eV for the cell shown
# **Fermi-level density of states**: 0.365 states/eV/atom
data_LiSb2MoF
_chemical_formula_sum 'Li1 Sb2 Mo1 F1'
_cell_length_a 4.749
_cell_length_b 4.749
_cell_length_c 5.030
_cell_angle_alpha 90.00
_cell_angle_beta 90.00
_cell_angle_gamma 90.00
_space_group_name_H-M_alt 'P 4/m m m'
_space_group_IT_number 123
_space_group_name_Hall '-P 4 2'
loop_
_atom_site_label
_atom_site_type_symbol
_atom_site_fract_x
_atom_site_fract_y
_atom_site_fract_z
_atom_site_occupancy
Li1 Li 0.000 0.000 0.000 1
Sb1 Sb 0.000 0.500 0.000 1
Mo1 Mo 0.000 0.000 0.500 1
F1 F 0.500 0.500 0.500 1